## Cs2VSiPt (GGA-PBE)

Data for crystalline Cs2VSiPt at its relaxed geometry.

Cell and atoms, written as extended XYZ:
```
5
Lattice="6.466 0.000 0.000 0.000 6.466 0.000 0.000 0.000 4.530" Properties=species:S:1:pos:R:3 pbc="T T T"
Cs 0.000 3.233 0.000
Cs 3.233 0.000 0.000
V 0.000 0.000 0.000
Si 3.233 3.233 2.265
Pt 0.000 0.000 2.265
```

Computed properties:
Space-group type: P4/mmm, No. 123
Total moment in μB per cell: 5.67
Formation energy (no corrections) in eV per formula unit: 5.458

***

## Cs2SnPt2 (GGA-PBE)

Data for crystalline Cs2SnPt2 at its relaxed geometry.

Cell and atoms, written as extended XYZ:
```
10
Lattice="7.097 0.000 0.000 0.000 7.097 0.000 0.000 0.000 6.024" Properties=species:S:1:pos:R:3 pbc="T T T"
Cs 1.268 2.281 0.000
Cs 2.281 5.829 0.000
Cs 4.816 1.268 0.000
Cs 5.829 4.816 0.000
Sn 0.000 0.000 3.012
Sn 3.548 3.548 3.012
Pt 0.935 4.483 3.012
Pt 2.613 0.935 3.012
Pt 4.483 6.162 3.012
Pt 6.162 2.613 3.012
```

Computed properties:
ΔE_f in eV per atom: -0.06
Space-group type: P4/mbm, No. 127
Total moment in μB per cell: 0.00
Relative energy among the computed polymorphs in meV per atom: 191.7

***

## Cs3Sn4Pt (GGA-PBE)

Data for crystalline Cs3Sn4Pt at its relaxed geometry.

Cell and atoms, written as extended XYZ:
```
16
Lattice="7.753 0.000 0.000 0.000 14.423 0.000 0.000 0.000 6.223" Properties=species:S:1:pos:R:3 pbc="T T T"
Cs 1.938 0.224 0.943
Cs 1.938 3.606 3.382
Cs 1.938 6.988 0.943
Cs 5.814 7.436 5.280
Cs 5.814 10.818 2.840
Cs 5.814 14.199 5.280
Sn 0.347 10.818 5.983
Sn 1.938 9.162 4.053
Sn 1.938 12.473 4.053
Sn 3.529 10.818 5.983
Sn 4.223 3.606 0.239
Sn 5.814 1.951 2.170
Sn 5.814 5.261 2.170
Sn 7.405 3.606 0.239
Pt 1.938 10.818 1.954
Pt 5.814 3.606 4.268
```

Computed properties:
ΔE_f in eV per atom: -0.34
Space-group type: Pmmn, No. 59
Total moment in μB per cell: 0.00

***

## Cs2SnPt2 (GGA-PBE)

Data for crystalline Cs2SnPt2 at its relaxed geometry.

Cell and atoms, written as extended XYZ:
```
10
Lattice="5.391 -4.518 0.000 5.391 4.518 0.000 -0.007 0.000 6.363" Properties=species:S:1:pos:R:3 pbc="T T T"
Cs 1.484 1.041 6.363
Cs 1.487 -1.041 3.181
Cs 9.288 1.041 3.182
Cs 9.291 -1.041 0.000
Sn 5.389 0.001 1.591
Sn 5.386 -0.001 4.773
Pt 3.798 1.539 3.182
Pt 6.974 1.539 6.363
Pt 3.801 -1.539 0.001
Pt 6.978 -1.539 3.181
```

Computed properties:
ΔE_f in eV per atom: -0.25
Space-group type: C2/c, No. 15
Total moment in μB per cell: 0.00
Relative energy among the computed polymorphs in meV per atom: 0.0

***

## Cs2Sn2Pt3 (GGA-PBE)

Data for crystalline Cs2Sn2Pt3 at its relaxed geometry.

Cell and atoms, written as extended XYZ:
```
14
Lattice="14.334 0.000 0.000 0.000 4.499 0.000 -4.833 0.000 6.852" Properties=species:S:1:pos:R:3 pbc="T T T"
Cs 0.942 0.000 1.692
Cs 1.391 2.249 5.160
Cs 8.109 2.249 1.692
Cs 8.559 0.000 5.160
Sn -1.926 0.000 4.966
Sn 4.260 2.249 1.886
Sn 5.241 2.249 4.966
Sn 11.427 0.000 1.886
Pt -2.417 2.249 3.426
Pt -1.950 2.249 6.315
Pt 4.283 0.000 0.537
Pt 4.750 0.000 3.426
Pt 5.217 0.000 6.315
Pt 11.451 2.249 0.537
```

Computed properties:
ΔE_f in eV per atom: -0.34
Space-group type: C2/m, No. 12
Total moment in μB per cell: 0.00

***

## CsSn2Pt2 (GGA-PBE)

Data for crystalline CsSn2Pt2 at its relaxed geometry.

Cell and atoms, written as extended XYZ:
```
10
Lattice="4.818 0.000 0.000 0.000 4.818 0.000 0.000 0.000 13.673" Properties=species:S:1:pos:R:3 pbc="T T T"
Cs 0.000 0.000 0.000
Cs 2.409 2.409 6.836
Sn 0.000 2.409 3.418
Sn 0.000 2.409 10.255
Sn 2.409 0.000 3.418
Sn 2.409 0.000 10.255
Pt 0.000 0.000 4.581
Pt 0.000 0.000 9.092
Pt 2.409 2.409 2.256
Pt 2.409 2.409 11.417
```

Computed properties:
ΔE_f in eV per atom: -0.34
Space-group type: I4/mmm, No. 139
Total moment in μB per cell: 0.00
Relative energy among the computed polymorphs in meV per atom: 70.4

***

## CsSn2Pt3 (GGA-PBE)

Data for crystalline CsSn2Pt3 at its relaxed geometry.

Cell and atoms, written as extended XYZ:
```
12
Lattice="8.900 -2.049 0.000 8.900 2.049 0.000 -1.790 0.000 9.084" Properties=species:S:1:pos:R:3 pbc="T T T"
Cs 2.080 0.000 0.512
Cs 13.929 0.000 8.571
Sn 2.609 0.000 6.392
Sn 7.193 0.000 6.024
Sn 8.817 0.000 3.059
Sn 13.400 0.000 2.691
Pt 0.470 0.000 4.668
Pt 4.599 0.000 4.686
Pt 6.230 0.000 2.421
Pt 9.779 0.000 6.663
Pt 11.410 0.000 4.398
Pt 15.539 0.000 4.416
```

Computed properties:
ΔE_f in eV per atom: -0.32
Space-group type: C2/m, No. 12
Total moment in μB per cell: 0.00

***

## CsSnPt (GGA-PBE)

Data for crystalline CsSnPt at its relaxed geometry.

Cell and atoms, written as extended XYZ:
```
12
Lattice="5.060 0.000 0.000 0.000 18.511 0.000 -3.310 0.000 4.748" Properties=species:S:1:pos:R:3 pbc="T T T"
Cs -0.663 1.564 1.305
Cs -2.317 7.692 3.679
Cs 4.068 10.819 1.069
Cs 2.413 16.947 3.443
Sn -1.938 12.869 3.936
Sn -0.284 14.898 1.562
Sn 2.034 3.613 3.186
Sn 3.689 5.642 0.812
Pt 1.157 4.628 0.810
Pt -0.498 4.628 3.184
Pt 2.248 13.883 1.564
Pt 0.593 13.883 3.938
```

Computed properties:
ΔE_f in eV per atom: -0.41
Space-group type: P2_1/c, No. 14
Total moment in μB per cell: 0.00
Relative energy among the computed polymorphs in meV per atom: 39.1

***

## Cs3SnPt (GGA-PBE)

Data for crystalline Cs3SnPt at its relaxed geometry.

Cell and atoms, written as extended XYZ:
```
5
Lattice="7.042 0.000 0.000 0.000 7.042 0.000 0.000 0.000 7.042" Properties=species:S:1:pos:R:3 pbc="T T T"
Cs 0.000 0.000 3.521
Cs 0.000 3.521 0.000
Cs 3.521 0.000 0.000
Sn 0.000 0.000 0.000
Pt 3.521 3.521 3.521
```

Computed properties:
ΔE_f in eV per atom: 0.61
Space-group type: Pm-3m, No. 221
Total moment in μB per cell: 0.62

***

## CsSn2Pt (GGA-PBE)

Data for crystalline CsSn2Pt at its relaxed geometry.

Cell and atoms, written as extended XYZ:
```
4
Lattice="3.541 0.000 0.000 0.000 3.541 0.000 0.000 0.000 9.010" Properties=species:S:1:pos:R:3 pbc="T T T"
Cs 0.000 0.000 0.000
Sn 1.771 1.771 2.991
Sn 1.771 1.771 6.019
Pt 0.000 0.000 4.505
```

Computed properties:
ΔE_f in eV per atom: -0.26
Space-group type: P4/mmm, No. 123
Total moment in μB per cell: 0.00

***

## CsSnPt3 (GGA-PBE)

Data for crystalline CsSnPt3 at its relaxed geometry.

Cell and atoms, written as extended XYZ:
```
5
Lattice="5.231 0.000 0.000 0.000 5.231 0.000 0.000 0.000 5.231" Properties=species:S:1:pos:R:3 pbc="T T T"
Cs 0.000 0.000 0.000
Sn 2.616 2.616 2.616
Pt 0.000 0.000 2.616
Pt 0.000 2.616 0.000
Pt 2.616 0.000 0.000
```

Computed properties:
ΔE_f in eV per atom: 1.76
Space-group type: Pm-3m, No. 221
Total moment in μB per cell: 0.00
Relative energy among the computed polymorphs in meV per atom: 1327.5

***

## CsSn2Pt (GGA-PBE)

Data for crystalline CsSn2Pt at its relaxed geometry.

Cell and atoms, written as extended XYZ:
```
16
Lattice="7.516 0.000 0.000 0.000 7.516 0.000 0.000 0.000 7.516" Properties=species:S:1:pos:R:3 pbc="T T T"
Cs 0.000 0.000 0.000
Cs 0.000 3.758 3.758
Cs 3.758 0.000 3.758
Cs 3.758 3.758 0.000
Sn 1.879 1.879 1.879
Sn 1.879 1.879 5.637
Sn 1.879 5.637 1.879
Sn 1.879 5.637 5.637
Sn 5.637 1.879 1.879
Sn 5.637 1.879 5.637
Sn 5.637 5.637 1.879
Sn 5.637 5.637 5.637
Pt 0.000 0.000 3.758
Pt 0.000 3.758 0.000
Pt 3.758 0.000 0.000
Pt 3.758 3.758 3.758
```

Computed properties:
ΔE_f in eV per atom: 0.31
Space-group type: Fm-3m, No. 225
Total moment in μB per cell: 0.00